# Na2PrAu9 GGA-PBE optimized geometry
data_Na2PrAu9
_cell_length_a 5.5684
_cell_length_b 5.5684
_cell_length_c 10.0056
_cell_angle_alpha 73.84
_cell_angle_beta 73.84
_cell_angle_gamma 60.00
_space_group_name_H-M_alt 'P 1'
_space_group_IT_number 1
loop_
_space_group_symop_operation_xyz
'x,y,z'
loop_
_atom_site_label
_atom_site_type_symbol
_atom_site_fract_x
_atom_site_fract_y
_atom_site_fract_z
Na1 Na 0.1463 0.1463 0.5611
Na2 Na 0.8537 0.8537 0.4389
Au1 Au 0.5856 0.0835 0.7454
Au2 Au 0.5000 0.5000 0.5000
Au3 Au 0.3324 0.3324 0.0029
Au4 Au 0.0835 0.5856 0.7454
Au5 Au 0.9165 0.4144 0.2546
Au6 Au 0.4144 0.4144 0.2546
Au7 Au 0.4144 0.9165 0.2546
Au8 Au 0.5856 0.5856 0.7454
Au9 Au 0.6676 0.6676 0.9971
Pr1 Pr 0.0000 0.0000 0.0000
# - E_tot: -3.453 eV/atom
# - ρ: 12.79 g/cm3